A plane-wave DFT calculation with PBE with a Hubbard U was carried out for a relaxed CoHg3Pd3O8 crystal.

Unit cell a=6.034 b=6.045 c=8.070 alpha=111.69 beta=90.00 gamma=119.94
Atoms (fractional coordinates):
Co: 0.000 0.000 0.500
Hg: 0.000 0.000 0.000
Hg: 0.000 0.500 0.000
Hg: 0.500 0.500 0.000
Pd: 0.500 0.000 0.500
Pd: 0.500 0.500 0.500
Pd: 0.000 0.500 0.500
O: 0.286 0.573 0.356
O: 0.714 0.427 0.644
O: 0.796 0.592 0.363
O: 0.204 0.408 0.637
O: 0.796 0.069 0.363
O: 0.204 0.931 0.637
O: 0.272 0.069 0.363
O: 0.728 0.931 0.637

Results
For the volume, the calculation gives 15.4 A^3/atom. The space-group type is No. 12. As for the energy: -0.3287 Ry per atom. The calculation puts the total moment at 0.00 Bohr magnetons per cell. The density is 7.97 g/cm³.